[1]
A plane-wave DFT calculation with PBE was carried out for crystalline CaTaCr2 at its relaxed geometry.

POSCAR file:
```
CaTaCr2
1.0
3.249 0.000 0.000
0.000 3.249 0.000
0.000 0.000 7.174
Ca Ta Cr
1 1 2
direct
0.000 0.000 0.000 Ca
0.000 0.000 0.500 Ta
0.500 0.500 0.304 Cr
0.500 0.500 0.696 Cr
```

Summary:
Calculated density ... 7.13 g/cm³
Formation enthalpy at 0 K ... 0.49 eV/atom
Energy above the lowest structure with this stoichiometry ... 0 meV per atom


[2]
A plane-wave DFT calculation with PBE was carried out for crystalline CaTaCr2 at its relaxed geometry.

POSCAR file:
```
CaTaCr2
1.0
3.023 -4.387 0.000
3.023 4.387 0.000
-0.849 0.000 2.561
Ca Ta Cr
1 1 2
direct
0.000 0.000 0.000 Ca
0.500 0.500 0.000 Ta
0.000 0.500 0.500 Cr
0.500 0.000 0.500 Cr
```

Summary:
Calculated density ... 7.95 g/cm³
Formation enthalpy at 0 K ... 0.93 eV/atom
Energy above the lowest structure with this stoichiometry ... 440 meV per atom


[3]
A plane-wave DFT calculation with PBE was carried out for crystalline CaTaCr2 at its relaxed geometry.

POSCAR file:
```
CaTaCr2
1.0
4.672 0.000 0.000
0.000 4.672 0.000
0.000 0.000 3.266
Ca Ta Cr
1 1 2
direct
0.000 0.000 0.000 Ca
0.500 0.500 0.000 Ta
0.000 0.500 0.500 Cr
0.500 0.000 0.500 Cr
```

Summary:
Calculated density ... 7.57 g/cm³
Formation enthalpy at 0 K ... 0.73 eV/atom
Energy above the lowest structure with this stoichiometry ... 242 meV per atom


[4]
A plane-wave DFT calculation with PBE was carried out for crystalline CaTaCr at its relaxed geometry.

POSCAR file:
```
CaTaCr
1.0
4.778 0.000 0.000
-2.389 4.138 0.000
0.000 0.000 3.145
Ca Ta Cr
1 1 1
direct
0.000 0.000 0.000 Ca
0.333 0.667 0.500 Ta
0.667 0.333 0.500 Cr
```

Summary:
Calculated density ... 7.29 g/cm³
Formation enthalpy at 0 K ... 0.85 eV/atom
Energy above the lowest structure with this stoichiometry ... 334 meV per atom


[5]
A plane-wave DFT calculation with PBE was carried out for crystalline Ca2TaCr2 at its relaxed geometry.

POSCAR file:
```
Ca2TaCr2
1.0
-1.973 1.973 6.439
1.973 -1.973 6.439
1.973 1.973 -6.439
Ca Ta Cr
2 1 2
direct
0.250 0.750 0.500 Ca
0.750 0.250 0.500 Ca
0.000 0.000 0.000 Ta
0.428 0.428 0.000 Cr
0.572 0.572 0.000 Cr
```

Summary:
Calculated density ... 6.04 g/cm³
Formation enthalpy at 0 K ... 1.07 eV/atom
Energy above the lowest structure with this stoichiometry ... 0 meV per atom


[6]
A plane-wave DFT calculation with PBE was carried out for crystalline CaTaCr at its relaxed geometry.

POSCAR file:
```
CaTaCr
1.0
-1.658 1.658 5.685
1.658 -1.658 5.685
1.658 1.658 -5.685
Ca Ta Cr
1 1 1
direct
0.000 0.000 0.000 Ca
0.284 0.284 0.000 Ta
0.695 0.695 0.000 Cr
```

Summary:
Calculated density ... 7.25 g/cm³
Formation enthalpy at 0 K ... 0.52 eV/atom
Energy above the lowest structure with this stoichiometry ... 0 meV per atom


[7]
A plane-wave DFT calculation with PBE was carried out for crystalline Ca2TaCr at its relaxed geometry.

POSCAR file:
```
Ca2TaCr
1.0
8.966 -1.621 0.000
8.966 1.621 0.000
-0.843 0.000 3.801
Ca Ta Cr
2 1 1
direct
0.158 0.158 0.157 Ca
0.842 0.842 0.843 Ca
0.000 0.000 0.500 Ta
0.500 0.500 0.000 Cr
```

Summary:
Calculated density ... 4.71 g/cm³
Formation enthalpy at 0 K ... 0.61 eV/atom
Energy above the lowest structure with this stoichiometry ... 202 meV per atom


[8]
A plane-wave DFT calculation with PBE was carried out for crystalline Ca2TaCr at its relaxed geometry.

POSCAR file:
```
Ca2TaCr
1.0
3.391 0.000 0.000
0.000 3.399 0.000
-0.009 0.000 8.690
Ca Ta Cr
2 1 1
direct
0.000 0.000 0.000 Ca
0.500 0.500 0.369 Ca
0.000 0.000 0.638 Ta
0.500 0.500 0.749 Cr
```

Summary:
Calculated density ... 5.19 g/cm³
Formation enthalpy at 0 K ... 0.41 eV/atom
Energy above the lowest structure with this stoichiometry ... 0 meV per atom


[9]
A plane-wave DFT calculation with PBE was carried out for crystalline Ca3TaCr at its relaxed geometry.

POSCAR file:
```
Ca3TaCr
1.0
5.608 0.000 0.000
0.000 5.608 0.000
0.000 0.000 5.608
Ca Ta Cr
3 1 1
direct
0.000 0.000 0.500 Ca
0.000 0.500 0.000 Ca
0.500 0.000 0.000 Ca
0.000 0.000 0.000 Ta
0.500 0.500 0.500 Cr
```

Summary:
Calculated density ... 3.32 g/cm³
Formation enthalpy at 0 K ... 1.41 eV/atom
Energy above the lowest structure with this stoichiometry ... 0 meV per atom


[10]
A plane-wave DFT calculation with PBE was carried out for crystalline CaTaCr2 at its relaxed geometry.

POSCAR file:
```
CaTaCr2
1.0
-1.526 2.328 4.886
1.526 -2.328 4.886
1.526 2.328 -4.886
Ca Ta Cr
1 1 2
direct
0.000 0.000 0.000 Ca
0.281 0.781 0.500 Ta
0.572 0.572 0.000 Cr
0.736 0.236 0.500 Cr
```

Summary:
Calculated density ... 7.77 g/cm³
Formation enthalpy at 0 K ... 0.65 eV/atom
Energy above the lowest structure with this stoichiometry ... 161 meV per atom


[11]
A plane-wave DFT calculation with PBE was carried out for crystalline CaTa2Cr2 at its relaxed geometry.

POSCAR file:
```
CaTa2Cr2
1.0
-2.033 2.033 5.855
2.033 -2.033 5.855
2.033 2.033 -5.855
Ca Ta Cr
1 2 2
direct
0.000 0.000 0.000 Ca
0.373 0.373 0.000 Ta
0.627 0.627 0.000 Ta
0.250 0.750 0.500 Cr
0.750 0.250 0.500 Cr
```

Summary:
Calculated density ... 8.68 g/cm³
Formation enthalpy at 0 K ... 0.78 eV/atom


[12]
A plane-wave DFT calculation with PBE was carried out for crystalline CaTaCr2 at its relaxed geometry.

POSCAR file:
```
CaTaCr2
1.0
2.934 0.000 0.000
0.000 3.706 0.000
-0.961 0.000 6.907
Ca Ta Cr
1 1 2
direct
0.000 0.000 0.000 Ca
0.354 0.500 0.637 Ta
0.519 0.500 0.311 Cr
0.872 0.000 0.445 Cr
```

Summary:
Calculated density ... 7.19 g/cm³
Formation enthalpy at 0 K ... 0.59 eV/atom
Energy above the lowest structure with this stoichiometry ... 100 meV per atom